# GGA-PBE DyGa2OsO8, optimized geometry
data_DyGa2OsO8
_chemical_formula_sum 'Dy2 Ga4 Os2 O16'
_space_group_name_H-M_alt 'C 1 2/m 1'
_space_group_IT_number 12
_cell_length_a 7.0406
_cell_length_b 6.3858
_cell_length_c 6.5991
_cell_angle_alpha 90.00
_cell_angle_beta 96.26
_cell_angle_gamma 90.00
loop_
_space_group_symop_operation_xyz
'x,y,z'
'-x,-y,-z'
'-x,y,-z'
'x,-y,z'
'x+1/2,y+1/2,z'
'-x+1/2,-y+1/2,-z'
'-x+1/2,y+1/2,-z'
'x+1/2,-y+1/2,z'
loop_
_atom_site_label
_atom_site_type_symbol
_atom_site_fract_x
_atom_site_fract_y
_atom_site_fract_z
Dy1 Dy 0.0000 0.0000 0.0000
Ga1 Ga 0.0361 0.5000 0.2192
Os1 Os 0.0000 0.0000 0.5000
O1 O 0.0046 0.2064 0.2844
O2 O 0.1818 0.5000 0.9917
O3 O 0.2383 0.5000 0.4618
# **Magnetization**: 1.792 μB/cell
# **Electronic total energy**: -82.5 eV/f.u.
# **Density of states at the Fermi level**: 0.139 states/eV/atom

***

# GGA-PBE DyPaGaO6, optimized geometry
data_DyPaGaO6
_chemical_formula_sum 'Dy1 Pa1 Ga1 O6'
_space_group_name_H-M_alt 'P 3 1 2'
_space_group_IT_number 149
_cell_length_a 5.4203
_cell_length_b 5.4203
_cell_length_c 4.7864
_cell_angle_alpha 90.00
_cell_angle_beta 90.00
_cell_angle_gamma 120.00
loop_
_space_group_symop_operation_xyz
'x,y,z'
'-y,x-y,z'
'-x+y,-x,z'
'-y,-x,-z'
'-x+y,y,-z'
'x,x-y,-z'
loop_
_atom_site_label
_atom_site_type_symbol
_atom_site_fract_x
_atom_site_fract_y
_atom_site_fract_z
Dy1 Dy 0.0000 0.0000 0.0000
Pa1 Pa 0.6667 0.3333 0.5000
Ga1 Ga 0.3333 0.6667 0.0000
O1 O 0.0134 0.3661 0.2379
# **Magnetization**: 0.496 μB/cell
# **Electronic total energy**: -71.3 eV/f.u.
# **Density of states at the Fermi level**: 0.767 states/eV/atom

***

# GGA-PBE DyPaGa2O8, optimized geometry
data_DyPaGa2O8
_chemical_formula_sum 'Dy2 Pa2 Ga4 O16'
_space_group_name_H-M_alt 'I -4 m 2'
_space_group_IT_number 119
_space_group_name_Hall 'I -4 -2'
_cell_length_a 7.0222
_cell_length_b 7.0222
_cell_length_c 6.7317
_cell_angle_alpha 90.00
_cell_angle_beta 90.00
_cell_angle_gamma 90.00
loop_
_atom_site_label
_atom_site_type_symbol
_atom_site_fract_x
_atom_site_fract_y
_atom_site_fract_z
Dy1 Dy 0.0000 0.0000 0.0000
Pa1 Pa 0.0000 0.5000 0.7500
Ga1 Ga 0.0000 0.0000 0.5000
Ga2 Ga 0.0000 0.5000 0.2500
O1 O 0.0000 0.1927 0.6886
O2 O 0.0000 0.3168 0.0538
# **Magnetization**: 3.097 μB/cell
# **Electronic total energy**: -88.2 eV/f.u.
# **Density of states at the Fermi level**: 0.981 states/eV/atom

***

electronic total energy of number 2 (DyPaGaO6)?
-71.3 eV/f.u.

***

What did the second record say?
# GGA-PBE DyPaGaO6, optimized geometry
data_DyPaGaO6
_chemical_formula_sum 'Dy1 Pa1 Ga1 O6'
_space_group_name_H-M_alt 'P 3 1 2'
_space_group_IT_number 149
_cell_length_a 5.4203
_cell_length_b 5.4203
_cell_length_c 4.7864
_cell_angle_alpha 90.00
_cell_angle_beta 90.00
_cell_angle_gamma 120.00
loop_
_space_group_symop_operation_xyz
'x,y,z'
'-y,x-y,z'
'-x+y,-x,z'
'-y,-x,-z'
'-x+y,y,-z'
'x,x-y,-z'
loop_
_atom_site_label
_atom_site_type_symbol
_atom_site_fract_x
_atom_site_fract_y
_atom_site_fract_z
Dy1 Dy 0.0000 0.0000 0.0000
Pa1 Pa 0.6667 0.3333 0.5000
Ga1 Ga 0.3333 0.6667 0.0000
O1 O 0.0134 0.3661 0.2379
# **Magnetization**: 0.496 μB/cell
# **Electronic total energy**: -71.3 eV/f.u.
# **Density of states at the Fermi level**: 0.767 states/eV/atom

***

Number 1 is which compound?
DyGa2OsO8